{"formula": "CaY2ErSb4", "functional": "PBE-GGA", "state": "optimized geometry", "lattice_angstrom": [[7.659, 0.000, 0.000], [0.000, 4.380, 0.000], [-2.506, 0.000, 7.248]], "species": ["Ca", "Y", "Y", "Er", "Sb", "Sb", "Sb", "Sb"], "frac_coords": [[0.000, 0.000, 0.000], [0.500, 0.000, 0.500], [0.500, 0.500, 0.000], [0.000, 0.500, 0.500], [0.250, 0.000, 0.746], [0.255, 0.500, 0.257], [0.745, 0.500, 0.743], [0.750, 0.000, 0.254]], "dos_ef_per_ev_fu": 3.25, "total_magnetization_mub_per_fu": 0.0, "formation_energy_uncorrected_ev_per_atom": -1.04, "volume_a3_per_atom": 30.39}

{"formula": "Rb3NpCl8", "functional": "PBE-GGA", "state": "optimized geometry", "lattice_angstrom": [[10.059, 0.000, 0.000], [-5.030, 8.712, 0.000], [0.000, 0.000, 9.039]], "species": ["Rb", "Rb", "Rb", "Rb", "Rb", "Rb", "Np", "Np", "Cl", "Cl", "Cl", "Cl", "Cl", "Cl", "Cl", "Cl", "Cl", "Cl", "Cl", "Cl", "Cl", "Cl", "Cl", "Cl"], "frac_coords": [[0.152, 0.305, 0.000], [0.152, 0.848, 0.000], [0.305, 0.152, 0.500], [0.695, 0.848, 0.000], [0.848, 0.152, 0.500], [0.848, 0.695, 0.500], [0.333, 0.667, 0.429], [0.667, 0.333, 0.929], [0.000, 0.000, 0.259], [0.000, 0.000, 0.759], [0.051, 0.525, 0.339], [0.216, 0.432, 0.606], [0.216, 0.784, 0.606], [0.333, 0.667, 0.117], [0.432, 0.216, 0.106], [0.475, 0.525, 0.339], [0.475, 0.949, 0.339], [0.525, 0.051, 0.839], [0.525, 0.475, 0.839], [0.568, 0.784, 0.606], [0.667, 0.333, 0.617], [0.784, 0.216, 0.106], [0.784, 0.568, 0.106], [0.949, 0.475, 0.839]], "dos_ef_per_ev_fu": 11.27, "polymorph_energy_mev_per_atom": 0.0, "total_magnetization_mub_per_fu": 2.0, "formation_energy_uncorrected_ev_per_atom": -1.69, "volume_a3_per_atom": 33.01}

{"formula": "Tb5PrNi2", "functional": "PBE-GGA", "state": "optimized geometry", "lattice_angstrom": [[1.840, -6.517, 0.000], [1.840, 6.517, 0.000], [0.000, 0.000, 18.396]], "species": ["Tb", "Tb", "Tb", "Tb", "Tb", "Tb", "Tb", "Tb", "Tb", "Tb", "Pr", "Pr", "Ni", "Ni", "Ni", "Ni"], "frac_coords": [[0.063, 0.937, 0.593], [0.063, 0.937, 0.907], [0.332, 0.668, 0.555], [0.332, 0.668, 0.945], [0.401, 0.599, 0.250], [0.599, 0.401, 0.750], [0.668, 0.332, 0.055], [0.668, 0.332, 0.445], [0.937, 0.063, 0.093], [0.937, 0.063, 0.407], [0.328, 0.672, 0.750], [0.672, 0.328, 0.250], [0.279, 0.721, 0.132], [0.279, 0.721, 0.368], [0.721, 0.279, 0.632], [0.721, 0.279, 0.868]], "dos_ef_per_ev_fu": 11.31, "total_energy_ev_per_fu": -40.56, "total_magnetization_mub_per_fu": 0.0, "volume_a3_per_atom": 27.58}

{"formula": "Ho3CoTe", "functional": "PBE-GGA", "state": "optimized geometry", "lattice_angstrom": [[8.100, 0.000, 0.000], [0.000, 3.919, 0.000], [-2.413, 0.000, 8.042]], "species": ["Ho", "Ho", "Ho", "Ho", "Ho", "Ho", "Co", "Co", "Te", "Te"], "frac_coords": [[0.064, 0.250, 0.248], [0.303, 0.250, 0.929], [0.308, 0.750, 0.594], [0.692, 0.250, 0.406], [0.697, 0.750, 0.071], [0.936, 0.750, 0.752], [0.060, 0.250, 0.582], [0.940, 0.750, 0.418], [0.382, 0.750, 0.239], [0.618, 0.250, 0.761]], "dos_ef_per_ev_fu": 3.53, "polymorph_energy_mev_per_atom": 0.0, "total_magnetization_mub_per_fu": 0.0, "formation_energy_uncorrected_ev_per_atom": -0.65, "volume_a3_per_atom": 25.53}

{"formula": "Gd2ErTl", "functional": "PBE-GGA", "state": "optimized geometry", "lattice_angstrom": [[0.000, 3.875, 3.875], [3.875, 0.000, 3.875], [3.875, 3.875, 0.000]], "species": ["Gd", "Gd", "Er", "Tl"], "frac_coords": [[0.250, 0.250, 0.250], [0.750, 0.750, 0.750], [0.000, 0.000, 0.000], [0.500, 0.500, 0.500]], "dos_ef_per_ev_fu": 4.10, "polymorph_energy_mev_per_atom": 130.2, "total_magnetization_mub_per_fu": 15.8, "volume_a3_per_atom": 29.08}

{"formula": "Ca2PuCu", "functional": "PBE-GGA", "state": "optimized geometry", "lattice_angstrom": [[1.809, 1.044, 10.979], [-1.809, 1.044, 10.979], [0.000, -2.089, 10.979]], "species": ["Ca", "Ca", "Pu", "Cu"], "frac_coords": [[0.105, 0.105, 0.105], [0.895, 0.895, 0.895], [0.000, 0.000, 0.000], [0.500, 0.500, 0.500]], "dos_ef_per_ev_fu": 10.87, "total_energy_ev_per_fu": -20.95, "total_magnetization_mub_per_fu": 6.3, "volume_a3_per_atom": 31.11}